Record 1
A relaxed ZnPdPb crystal, computed with PBE.

Cell and atoms, written as CIF:
```
data_ZnPdPb
_space_group_name_H-M_alt 'I 4 m m'
_space_group_IT_number 107
_space_group_name_Hall 'I 4 -2'
_cell_length_a 3.351
_cell_length_b 3.351
_cell_length_c 10.714
_cell_angle_alpha 90.00
_cell_angle_beta 90.00
_cell_angle_gamma 90.00
loop_
_atom_site_label
_atom_site_type_symbol
_atom_site_fract_x
_atom_site_fract_y
_atom_site_fract_z
Zn1 Zn 0.000 0.000 0.000
Pd1 Pd 0.000 0.000 0.395
Pb1 Pb 0.000 0.000 0.710
```

Values from the calculation:
Its energy above the lowest structure with this stoichiometry is 0.05 eV per formula unit. Its magnetic moment is 0.00 μB/f.u.

=====

Record 2
A relaxed PrNd4Sm2Th crystal, computed with PBE.

Cell and atoms, written as CIF:
```
data_PrNd4Sm2Th
_space_group_name_H-M_alt 'P 1 2/m 1'
_space_group_IT_number 10
_space_group_name_Hall '-P 2y'
_cell_length_a 6.321
_cell_length_b 3.658
_cell_length_c 12.182
_cell_angle_alpha 90.00
_cell_angle_beta 100.03
_cell_angle_gamma 90.00
loop_
_atom_site_label
_atom_site_type_symbol
_atom_site_fract_x
_atom_site_fract_y
_atom_site_fract_z
Pr1 Pr 0.000 0.000 0.000
Nd1 Nd 0.242 0.000 0.745
Nd2 Nd 0.249 0.500 0.253
Sm1 Sm 0.500 0.000 0.500
Sm2 Sm 0.500 0.500 0.000
Th1 Th 0.000 0.500 0.500
```

Values from the calculation:
Its magnetic moment is 0.00 μB/f.u. The uncorrected energy is -5.06 eV/atom.

=====

Record 3
A relaxed RbTcAg2Cl8 crystal, computed with PBE.

Cell and atoms, written as CIF:
```
data_RbTcAg2Cl8
_space_group_name_H-M_alt 'P -1'
_space_group_IT_number 2
_space_group_name_Hall '-P 1'
_cell_length_a 6.317
_cell_length_b 6.820
_cell_length_c 8.768
_cell_angle_alpha 73.45
_cell_angle_beta 82.83
_cell_angle_gamma 86.65
loop_
_atom_site_label
_atom_site_type_symbol
_atom_site_fract_x
_atom_site_fract_y
_atom_site_fract_z
Rb1 Rb 0.000 0.000 0.000
Tc1 Tc 0.000 0.500 0.500
Ag1 Ag 0.436 0.494 0.202
Cl1 Cl 0.122 0.503 0.746
Cl2 Cl 0.241 0.759 0.355
Cl3 Cl 0.264 0.249 0.469
Cl4 Cl 0.495 0.220 0.055
```

Values from the calculation:
The value obtained for the formation energy (no corrections) is -9.479 eV per formula unit. Its magnetic moment is 2.43 μB/f.u.

=====

Record 4
A relaxed LiCeGdRe crystal, computed with PBE.

Cell and atoms, written as CIF:
```
data_LiCeGdRe
_space_group_name_H-M_alt 'F -4 3 m'
_space_group_IT_number 216
_space_group_name_Hall 'F -4 2 3'
_cell_length_a 7.015
_cell_length_b 7.015
_cell_length_c 7.015
_cell_angle_alpha 90.00
_cell_angle_beta 90.00
_cell_angle_gamma 90.00
loop_
_atom_site_label
_atom_site_type_symbol
_atom_site_fract_x
_atom_site_fract_y
_atom_site_fract_z
Li1 Li 0.000 0.000 0.000
Ce1 Ce 0.250 0.250 0.250
Gd1 Gd 0.250 0.250 0.750
Re1 Re 0.000 0.000 0.500
```

Values from the calculation:
Its magnetic moment is 6.65 μB/f.u. The uncorrected energy is -8.50 eV/atom.

=====

Record 5
A relaxed PdSeO2 crystal, computed with PBE.

Cell and atoms, written as CIF:
```
data_PdSeO2
_space_group_name_H-M_alt 'I m m a'
_space_group_IT_number 74
_space_group_name_Hall '-I 2b 2'
_cell_length_a 5.753
_cell_length_b 12.320
_cell_length_c 3.397
_cell_angle_alpha 90.00
_cell_angle_beta 90.00
_cell_angle_gamma 90.00
loop_
_atom_site_label
_atom_site_type_symbol
_atom_site_fract_x
_atom_site_fract_y
_atom_site_fract_z
Pd1 Pd 0.000 0.000 0.000
Se1 Se 0.250 0.250 0.250
O1 O 0.250 0.091 0.250
```

Values from the calculation:
The value obtained for the formation energy (no corrections) is -0.972 eV per formula unit. Its magnetic moment is 0.00 μB/f.u.

=====

Record 6
A relaxed Mg5Sc6Ga crystal, computed with PBE.

Cell and atoms, written as CIF:
```
data_Mg5Sc6Ga
_space_group_name_H-M_alt 'C m m m'
_space_group_IT_number 65
_space_group_name_Hall '-C 2 2'
_cell_length_a 5.012
_cell_length_b 15.079
_cell_length_c 7.082
_cell_angle_alpha 90.00
_cell_angle_beta 90.00
_cell_angle_gamma 90.00
loop_
_atom_site_label
_atom_site_type_symbol
_atom_site_fract_x
_atom_site_fract_y
_atom_site_fract_z
Mg1 Mg 0.000 0.000 0.000
Mg2 Mg 0.000 0.327 0.500
Mg3 Mg 0.000 0.331 0.000
Sc1 Sc 0.000 0.160 0.258
Sc2 Sc 0.000 0.500 0.262
Ga1 Ga 0.000 0.000 0.500
```

Values from the calculation:
Its magnetic moment is 0.00 μB/f.u. The uncorrected energy is -4.23 eV/atom.

=====

Record 7
A relaxed LaPm3Tl3 crystal, computed with PBE.

Cell and atoms, written as CIF:
```
data_LaPm3Tl3
_space_group_name_H-M_alt 'P 63/m'
_space_group_IT_number 176
_space_group_name_Hall '-P 6c'
_cell_length_a 9.7722
_cell_length_b 9.7722
_cell_length_c 5.3217
_cell_angle_alpha 90.00
_cell_angle_beta 90.00
_cell_angle_gamma 120.00
loop_
_atom_site_label
_atom_site_type_symbol
_atom_site_fract_x
_atom_site_fract_y
_atom_site_fract_z
La1 La 0.3333 0.6667 0.2500
Pm1 Pm 0.0038 0.2396 0.7500
Tl1 Tl 0.0685 0.6196 0.7500
```

Values from the calculation:
Its energy above the lowest structure with this stoichiometry is 0.12 eV per formula unit. Its magnetic moment is 0.00 μB/f.u.

=====

Record 8
A relaxed NdThMgIn crystal, computed with PBE.

Cell and atoms, written as CIF:
```
data_NdThMgIn
_space_group_name_H-M_alt 'F -4 3 m'
_space_group_IT_number 216
_space_group_name_Hall 'F -4 2 3'
_cell_length_a 7.731
_cell_length_b 7.731
_cell_length_c 7.731
_cell_angle_alpha 90.00
_cell_angle_beta 90.00
_cell_angle_gamma 90.00
loop_
_atom_site_label
_atom_site_type_symbol
_atom_site_fract_x
_atom_site_fract_y
_atom_site_fract_z
Nd1 Nd 0.000 0.000 0.000
Th1 Th 0.000 0.000 0.500
Mg1 Mg 0.250 0.250 0.750
In1 In 0.250 0.250 0.250
```

Values from the calculation:
Its magnetic moment is 0.00 μB/f.u. The uncorrected energy is -4.31 eV/atom.

=====

Record 9
A relaxed YIn2Pd5 crystal, computed with PBE.

Cell and atoms, written as CIF:
```
data_YIn2Pd5
_space_group_name_H-M_alt 'I 4/m m m'
_space_group_IT_number 139
_space_group_name_Hall '-I 4 2'
_cell_length_a 4.288
_cell_length_b 4.288
_cell_length_c 15.530
_cell_angle_alpha 90.00
_cell_angle_beta 90.00
_cell_angle_gamma 90.00
loop_
_atom_site_label
_atom_site_type_symbol
_atom_site_fract_x
_atom_site_fract_y
_atom_site_fract_z
Y1 Y 0.000 0.000 0.000
In1 In 0.000 0.000 0.255
Pd1 Pd 0.000 0.000 0.500
Pd2 Pd 0.000 0.500 0.131
```

Values from the calculation:
Its magnetic moment is 0.00 μB/f.u. The uncorrected energy is -5.40 eV/atom.

=====

Record 10
A relaxed KTaV3 crystal, computed with PBE.

Cell and atoms, written as CIF:
```
data_KTaV3
_space_group_name_H-M_alt 'P m -3 m'
_space_group_IT_number 221
_space_group_name_Hall '-P 4 2 3'
_cell_length_a 4.991
_cell_length_b 4.991
_cell_length_c 4.991
_cell_angle_alpha 90.00
_cell_angle_beta 90.00
_cell_angle_gamma 90.00
loop_
_atom_site_label
_atom_site_type_symbol
_atom_site_fract_x
_atom_site_fract_y
_atom_site_fract_z
K1 K 0.000 0.000 0.000
Ta1 Ta 0.500 0.500 0.500
V1 V 0.000 0.500 0.500
```

Values from the calculation:
Its energy above the lowest structure with this stoichiometry is 0.00 eV per formula unit. Its magnetic moment is 6.97 μB/f.u.

=====

Record 11
A relaxed ScBiSe2 crystal, computed with PBE.

Cell and atoms, written as CIF:
```
data_ScBiSe2
_space_group_name_H-M_alt 'R -3 m'
_space_group_IT_number 166
_space_group_name_Hall '-R 3 2"'
_cell_length_a 3.8124
_cell_length_b 3.8124
_cell_length_c 26.6808
_cell_angle_alpha 90.00
_cell_angle_beta 90.00
_cell_angle_gamma 120.00
loop_
_atom_site_label
_atom_site_type_symbol
_atom_site_fract_x
_atom_site_fract_y
_atom_site_fract_z
Sc1 Sc 0.0000 0.0000 0.0000
Bi1 Bi 0.0000 0.0000 0.5000
Se1 Se 0.0000 0.0000 0.3912
```

Values from the calculation:
The value obtained for the formation energy (no corrections) is -4.277 eV per formula unit. Its magnetic moment is 0.00 μB/f.u.

=====

Record 12
A relaxed La4Pr3Er crystal, computed with PBE.

Cell and atoms, written as CIF:
```
data_La4Pr3Er
_space_group_name_H-M_alt 'C 1 2/m 1'
_space_group_IT_number 12
_space_group_name_Hall '-C 2y'
_cell_length_a 25.906
_cell_length_b 3.552
_cell_length_c 6.307
_cell_angle_alpha 90.00
_cell_angle_beta 93.90
_cell_angle_gamma 90.00
loop_
_atom_site_label
_atom_site_type_symbol
_atom_site_fract_x
_atom_site_fract_y
_atom_site_fract_z
La1 La 0.105 0.000 0.227
La2 La 0.220 0.500 0.244
Pr1 Pr 0.000 0.000 0.500
Pr2 Pr 0.144 0.000 0.739
Er1 Er 0.000 0.500 0.000
```

Values from the calculation:
Its energy above the lowest structure with this stoichiometry is 1.45 eV per formula unit. Its magnetic moment is 0.00 μB/f.u.

=====

Record 13
A relaxed PrY2Zn2 crystal, computed with PBE.

Cell and atoms, written as CIF:
```
data_PrY2Zn2
_space_group_name_H-M_alt 'P 1 21/m 1'
_space_group_IT_number 11
_space_group_name_Hall '-P 2yb'
_cell_length_a 4.552
_cell_length_b 4.503
_cell_length_c 13.126
_cell_angle_alpha 90.00
_cell_angle_beta 97.93
_cell_angle_gamma 90.00
loop_
_atom_site_label
_atom_site_type_symbol
_atom_site_fract_x
_atom_site_fract_y
_atom_site_fract_z
Pr1 Pr 0.151 0.250 0.271
Y1 Y 0.240 0.750 0.477
Y2 Y 0.439 0.250 0.891
Zn1 Zn 0.002 0.250 0.045
Zn2 Zn 0.317 0.250 0.661
```

Values from the calculation:
Its energy above the lowest structure with this stoichiometry is 0.43 eV per formula unit. Its magnetic moment is 0.00 μB/f.u.